Entry 1:
Ac5Y3Se12: relaxed, PBE-GGA.

The formation energy without anion corrections is -1.60 eV per atom. As for the space group: Ia-3d (230).

a b c (Å): 15.286 15.286 15.286
angles (deg): 109.47 109.47 109.47
Sites, in units of the cell vectors:
Se 0.369 0.938 0.764
Se 0.174 0.104 0.736
Se 0.369 0.431 0.104
Ac 0.625 0.750 0.875
Se 0.826 0.931 0.062
Se 0.062 0.631 0.736
Ac 0.000 0.000 0.500
Se 0.938 0.569 0.174
Se 0.236 0.562 0.631
Se 0.396 0.264 0.326
Y 0.625 0.375 0.750
Se 0.562 0.236 0.131
Se 0.896 0.069 0.631
Se 0.131 0.396 0.069
Se 0.631 0.062 0.236
Se 0.438 0.764 0.869
Se 0.236 0.674 0.104
Se 0.104 0.174 0.236
Se 0.326 0.562 0.431
Se 0.736 0.131 0.062
Se 0.431 0.062 0.326
Ac 0.500 0.500 0.500
Se 0.264 0.396 0.826
Se 0.062 0.431 0.826
Y 0.250 0.625 0.875
Se 0.326 0.764 0.396
Se 0.674 0.236 0.604
Se 0.736 0.604 0.174
Y 0.750 0.875 0.625
Y 0.625 0.250 0.375
Se 0.438 0.674 0.069
Se 0.396 0.131 0.569
Se 0.562 0.326 0.931
Ac 0.875 0.250 0.625
Ac 0.125 0.750 0.375
Ac 0.750 0.625 0.375
Y 0.375 0.625 0.250
Se 0.131 0.736 0.562
Ac 0.000 0.500 0.500
Se 0.931 0.104 0.869
Y 0.125 0.250 0.875
Se 0.931 0.826 0.562
Ac 0.000 0.000 0.000
Se 0.764 0.326 0.896
Y 0.250 0.125 0.375
Ac 0.875 0.625 0.750
Y 0.750 0.375 0.125
Y 0.875 0.125 0.250
Ac 0.500 0.000 0.000
Se 0.604 0.869 0.431
Se 0.869 0.604 0.931
Se 0.938 0.369 0.264
Se 0.604 0.736 0.674
Se 0.674 0.438 0.569
Se 0.826 0.896 0.264
Se 0.569 0.938 0.674
Se 0.174 0.069 0.938
Y 0.125 0.875 0.750
Se 0.069 0.896 0.131
Se 0.431 0.369 0.604
Se 0.631 0.569 0.896
Ac 0.375 0.125 0.750
Ac 0.250 0.875 0.125
Y 0.875 0.750 0.125
Ac 0.625 0.875 0.250
Se 0.764 0.438 0.369
Y 0.375 0.750 0.625
Ac 0.125 0.375 0.250
Se 0.869 0.264 0.438
Ac 0.000 0.500 0.000
Ac 0.750 0.125 0.875
Se 0.069 0.174 0.438
Se 0.104 0.931 0.369
Ac 0.250 0.375 0.625
Se 0.569 0.631 0.396
Ac 0.500 0.500 0.000
Se 0.896 0.826 0.764
Se 0.264 0.869 0.938
Ac 0.500 0.000 0.500
Ac 0.375 0.250 0.125



Entry 2:
AcY3Se4: relaxed, PBE-GGA.

The formation energy without anion corrections is -1.78 eV per atom. As for the space group: P6_3/mmc (194). The calculation puts the density of states at the Fermi level at 0.6635 states/eV/atom.

a b c (Å): 4.131 4.131 28.145
angles (deg): 90.00 90.00 120.00
Sites, in units of the cell vectors:
Y 0.000 0.000 0.000
Se 0.000 0.000 0.676
Y 0.667 0.333 0.117
Y 0.667 0.333 0.383
Y 0.333 0.667 0.883
Se 0.667 0.333 0.559
Se 0.000 0.000 0.176
Se 0.333 0.667 0.441
Ac 0.667 0.333 0.750
Se 0.333 0.667 0.059
Ac 0.333 0.667 0.250
Y 0.000 0.000 0.500
Se 0.000 0.000 0.824
Y 0.333 0.667 0.617
Se 0.000 0.000 0.324
Se 0.667 0.333 0.941



Entry 3:
AcYSe: relaxed, PBE-GGA.

The value obtained for the energy above the most stable polymorph in this dataset is 0.000 eV per atom. The formation energy without anion corrections is -1.07 eV per atom. As for the space group: P3m1 (156). The calculation puts the density of states at the Fermi level at 0.3348 states/eV/atom.

a b c (Å): 7.030 4.060 4.060
angles (deg): 120.00 90.00 90.00
Each line ends with the local moment (μB).
Sites, in units of the cell vectors:
Se 0.313 0.333 0.667  0.01
Ac 0.615 0.667 0.333  0.11
Y 0.072 0.000 0.000  -0.13